No. 1
Material: Na2Tl4Pd
Method: DFT, PBE
State: relaxed

Properties
ΔE_f, eV/atom: 0.0714
Distance to the lowest polymorph of the same formula, eV/atom: 0.1819
Space group: Cmmm, No. 65

The structure in CIF format:
```
data_Na2Tl4Pd
_chemical_formula_sum 'Na2 Tl4 Pd1'
_space_group_name_H-M_alt 'P 1'
_space_group_IT_number 1
_space_group_name_Hall 'P 1'
_cell_length_a 4.9796
_cell_length_b 6.2857
_cell_length_c 7.8732
_cell_angle_alpha 113.53
_cell_angle_beta 90.00
_cell_angle_gamma 90.00
loop_
_atom_site_label
_atom_site_fract_x
_atom_site_fract_y
_atom_site_fract_z
Na1 0.5000 0.1323 0.2645
Na2 0.5000 0.8677 0.7355
Tl1 0.5000 0.6005 0.2009
Tl2 0.0000 0.7165 0.4331
Tl3 0.5000 0.3995 0.7991
Tl4 0.0000 0.2835 0.5669
Pd1 0.0000 0.5000 0.0000
```

=====

No. 2
Material: LiRu2Br
Method: DFT, PBE
State: relaxed

Properties
Distance to the lowest polymorph of the same formula, eV/atom: 0.6144
Space group: R-3m, No. 166
E_form (uncorrected), meV per atom: 778.6

The structure in CIF format:
```
data_LiRu2Br
_chemical_formula_sum 'Li1 Ru2 Br1'
_space_group_name_H-M_alt 'P 1'
_space_group_IT_number 1
_space_group_name_Hall 'P 1'
_cell_length_a 8.6092
_cell_length_b 8.6092
_cell_length_c 8.6092
_cell_angle_alpha 19.56
_cell_angle_beta 19.56
_cell_angle_gamma 19.56
loop_
_atom_site_label
_atom_site_fract_x
_atom_site_fract_y
_atom_site_fract_z
Br1 0.2500 0.2500 0.2500
Li1 0.7500 0.7500 0.7500
Ru1 0.9968 0.9968 0.9968
Ru2 0.5032 0.5032 0.5032
```

=====

No. 3
Material: Ti2InNi2
Method: DFT, PBE
State: relaxed

Properties
ΔE_f, eV/atom: -0.1648
Space group: I4/mmm, No. 139

The structure in CIF format:
```
data_Ti2InNi2
_chemical_formula_sum 'Ti2 In1 Ni2'
_space_group_name_H-M_alt 'P 1'
_space_group_IT_number 1
_space_group_name_Hall 'P 1'
_cell_length_a 4.0864
_cell_length_b 4.0864
_cell_length_c 5.7114
_cell_angle_alpha 69.04
_cell_angle_beta 69.04
_cell_angle_gamma 90.00
loop_
_atom_site_label
_atom_site_fract_x
_atom_site_fract_y
_atom_site_fract_z
Ni1 0.3859 0.3859 0.2282
Ni2 0.6141 0.6141 0.7718
Ti1 0.7500 0.2500 0.5000
Ti2 0.2500 0.7500 0.5000
In1 0.0000 0.0000 0.0000
```

=====

No. 4
Material: LiMg
Method: DFT, PBE
State: relaxed

Properties
ΔE_f, eV/atom: 0.1593
Space group: P4_2/mnm, No. 136

The structure in CIF format:
```
data_LiMg
_chemical_formula_sum 'Li4 Mg4'
_space_group_name_H-M_alt 'P 1'
_space_group_IT_number 1
_space_group_name_Hall 'P 1'
_cell_length_a 5.6375
_cell_length_b 5.6375
_cell_length_c 5.5734
_cell_angle_alpha 90.00
_cell_angle_beta 90.00
_cell_angle_gamma 90.00
loop_
_atom_site_label
_atom_site_fract_x
_atom_site_fract_y
_atom_site_fract_z
Li1 0.8186 0.1814 0.0000
Li2 0.3186 0.3186 0.5000
Li3 0.6814 0.6814 0.5000
Li4 0.1814 0.8186 0.0000
Mg1 0.6895 0.6895 0.0000
Mg2 0.1895 0.8105 0.5000
Mg3 0.8105 0.1895 0.5000
Mg4 0.3105 0.3105 0.0000
```

=====

No. 5
Material: MnPCS
Method: DFT, PBE
State: relaxed

Properties
Distance to the lowest polymorph of the same formula, eV/atom: 0.0168
Space group: P3m1, No. 156
E_form (uncorrected), meV per atom: 140.5

The structure in CIF format:
```
data_MnPCS
_chemical_formula_sum 'Mn1 P1 C1 S1'
_space_group_name_H-M_alt 'P 1'
_space_group_IT_number 1
_space_group_name_Hall 'P 1'
_cell_length_a 2.9443
_cell_length_b 2.9443
_cell_length_c 7.9992
_cell_angle_alpha 90.00
_cell_angle_beta 90.00
_cell_angle_gamma 120.00
loop_
_atom_site_label
_atom_site_fract_x
_atom_site_fract_y
_atom_site_fract_z
P1 0.3333 0.6667 0.8304
S1 0.6667 0.3333 0.3152
Mn1 0.3333 0.6667 0.1379
C1 0.0000 0.0000 0.9388
```

=====

No. 6
Material: Sr4Cd3Ag
Method: DFT, PBE
State: relaxed

Properties
ΔE_f, eV/atom: -0.3129
Distance to the lowest polymorph of the same formula, eV/atom: 0.0000
Space group: P4/mmm, No. 123

The structure in CIF format:
```
data_Sr4Cd3Ag
_chemical_formula_sum 'Sr4 Cd3 Ag1'
_space_group_name_H-M_alt 'P 1'
_space_group_IT_number 1
_space_group_name_Hall 'P 1'
_cell_length_a 4.0218
_cell_length_b 4.0218
_cell_length_c 16.0844
_cell_angle_alpha 90.00
_cell_angle_beta 90.00
_cell_angle_gamma 90.00
loop_
_atom_site_label
_atom_site_fract_x
_atom_site_fract_y
_atom_site_fract_z
Sr1 0.0000 0.0000 0.8804
Sr2 0.0000 0.0000 0.1196
Sr3 0.0000 0.0000 0.3736
Sr4 0.0000 0.0000 0.6264
Ag1 0.5000 0.5000 0.0000
Cd1 0.5000 0.5000 0.2467
Cd2 0.5000 0.5000 0.5000
Cd3 0.5000 0.5000 0.7533
```

=====

No. 7
Material: Pu2PH4
Method: DFT, PBE
State: relaxed

Properties
Distance to the lowest polymorph of the same formula, eV/atom: 0.0510
Space group: P4_2/mnm, No. 136

The structure in CIF format:
```
data_Pu2PH4
_chemical_formula_sum 'Pu4 P2 H8'
_space_group_name_H-M_alt 'P 1'
_space_group_IT_number 1
_space_group_name_Hall 'P 1'
_cell_length_a 3.7402
_cell_length_b 6.7108
_cell_length_c 6.7108
_cell_angle_alpha 90.00
_cell_angle_beta 90.00
_cell_angle_gamma 90.00
loop_
_atom_site_label
_atom_site_fract_x
_atom_site_fract_y
_atom_site_fract_z
Pu1 0.0000 0.2153 0.7847
Pu2 0.0000 0.7847 0.2153
Pu3 0.5000 0.7153 0.7153
Pu4 0.5000 0.2847 0.2847
P1 0.5000 0.0000 0.0000
P2 0.0000 0.5000 0.5000
H1 0.0000 0.1034 0.3471
H2 0.0000 0.8966 0.6529
H3 0.5000 0.1529 0.6034
H4 0.5000 0.8471 0.3966
H5 0.5000 0.3966 0.8471
H6 0.5000 0.6034 0.1529
H7 0.0000 0.3471 0.1034
H8 0.0000 0.6529 0.8966
```

=====

No. 8
Material: Nd3MgZn8
Method: DFT, PBE
State: relaxed

Properties
ΔE_f, eV/atom: -0.2748
Space group: R3m, No. 160

The structure in CIF format:
```
data_Nd3MgZn8
_chemical_formula_sum 'Nd3 Mg1 Zn8'
_space_group_name_H-M_alt 'P 1'
_space_group_IT_number 1
_space_group_name_Hall 'P 1'
_cell_length_a 5.5282
_cell_length_b 5.5282
_cell_length_c 9.5542
_cell_angle_alpha 73.18
_cell_angle_beta 73.18
_cell_angle_gamma 60.00
loop_
_atom_site_label
_atom_site_fract_x
_atom_site_fract_y
_atom_site_fract_z
Nd1 0.3767 0.3767 0.8700
Nd2 0.9963 0.9963 0.0112
Nd3 0.5026 0.5026 0.4922
Mg1 0.8728 0.8728 0.3815
Zn1 0.9338 0.4388 0.1886
Zn2 0.4375 0.9388 0.6850
Zn3 0.4388 0.4388 0.1886
Zn4 0.9388 0.9388 0.6850
Zn5 0.1868 0.1868 0.4395
Zn6 0.6883 0.6883 0.9351
Zn7 0.4388 0.9338 0.1886
Zn8 0.9388 0.4375 0.6850
```

=====

No. 9
Material: LiNi6S8
Method: DFT, PBE
State: relaxed

Properties
Space group: R-3, No. 148
E_form (uncorrected), meV per atom: -391.7

The structure in CIF format:
```
data_LiNi6S8
_chemical_formula_sum 'Li1 Ni6 S8'
_space_group_name_H-M_alt 'P 1'
_space_group_IT_number 1
_space_group_name_Hall 'P 1'
_cell_length_a 6.2232
_cell_length_b 6.2232
_cell_length_c 6.2232
_cell_angle_alpha 92.58
_cell_angle_beta 92.58
_cell_angle_gamma 92.58
loop_
_atom_site_label
_atom_site_fract_x
_atom_site_fract_y
_atom_site_fract_z
Li1 0.0000 0.0000 0.0000
Ni1 0.5961 0.4466 0.8113
Ni2 0.4466 0.8113 0.5961
Ni3 0.8113 0.5961 0.4466
Ni4 0.4039 0.5534 0.1887
Ni5 0.5534 0.1887 0.4039
Ni6 0.1887 0.4039 0.5534
S1 0.7632 0.7632 0.7632
S2 0.2368 0.2368 0.2368
S3 0.6239 0.8445 0.2816
S4 0.8445 0.2816 0.6239
S5 0.2816 0.6239 0.8445
S6 0.3761 0.1555 0.7184
S7 0.1555 0.7184 0.3761
S8 0.7184 0.3761 0.1555
```

=====

No. 10
Material: Ho6P2HS3
Method: DFT, PBE
State: relaxed

Properties
Uncorrected energy, eV/atom: -6.084
Space group: C2/m, No. 12

The structure in CIF format:
```
data_Ho6P2HS3
_chemical_formula_sum 'Ho6 P2 H1 S3'
_space_group_name_H-M_alt 'P 1'
_space_group_IT_number 1
_space_group_name_Hall 'P 1'
_cell_length_a 3.9112
_cell_length_b 7.7430
_cell_length_c 8.6740
_cell_angle_alpha 103.82
_cell_angle_beta 103.03
_cell_angle_gamma 90.00
loop_
_atom_site_label
_atom_site_fract_x
_atom_site_fract_y
_atom_site_fract_z
Ho1 0.3340 0.9147 0.6679
Ho2 0.6691 0.5787 0.3381
Ho3 0.6660 0.0853 0.3321
Ho4 0.9989 0.2509 0.9979
Ho5 0.0011 0.7491 0.0021
Ho6 0.3309 0.4213 0.6619
P1 0.8366 0.6721 0.6732
P2 0.1634 0.3279 0.3268
H1 0.5000 0.0000 0.0000
S1 0.5000 0.5000 0.0000
S2 0.8317 0.1662 0.6633
S3 0.1683 0.8338 0.3367
```

=====

No. 11
Material: Cd2POs
Method: DFT, PBE
State: relaxed

Properties
ΔE_f, eV/atom: 0.1689
Distance to the lowest polymorph of the same formula, eV/atom: 0.1104
Space group: Immm, No. 71

The structure in CIF format:
```
data_Cd2POs
_chemical_formula_sum 'Cd2 P1 Os1'
_space_group_name_H-M_alt 'P 1'
_space_group_IT_number 1
_space_group_name_Hall 'P 1'
_cell_length_a 7.4371
_cell_length_b 7.4371
_cell_length_c 3.7639
_cell_angle_alpha 75.34
_cell_angle_beta 75.34
_cell_angle_gamma 22.60
loop_
_atom_site_label
_atom_site_fract_x
_atom_site_fract_y
_atom_site_fract_z
Cd1 0.9318 0.9318 0.0678
Cd2 0.5682 0.5682 0.4322
Os1 0.2500 0.2500 0.2500
P1 0.7500 0.7500 0.7500
```

=====

No. 12
Material: Pm2ScSnPd6
Method: DFT, PBE
State: relaxed

Properties
ΔE_f, eV/atom: -0.6439
Space group: P-1, No. 2

The structure in CIF format:
```
data_Pm2ScSnPd6
_chemical_formula_sum 'Pm2 Sc1 Sn1 Pd6'
_space_group_name_H-M_alt 'P 1'
_space_group_IT_number 1
_space_group_name_Hall 'P 1'
_cell_length_a 6.7035
_cell_length_b 6.6510
_cell_length_c 9.2693
_cell_angle_alpha 46.22
_cell_angle_beta 45.81
_cell_angle_gamma 71.16
loop_
_atom_site_label
_atom_site_fract_x
_atom_site_fract_y
_atom_site_fract_z
Pm1 0.7592 0.2408 0.5010
Pm2 0.2408 0.7592 0.4990
Sc1 0.0000 0.0000 0.0000
Sn1 0.5000 0.5000 0.0000
Pd1 0.1873 0.3145 0.5068
Pd2 0.6873 0.8142 0.0064
Pd3 0.2475 0.7523 0.8091
Pd4 0.7525 0.2477 0.1909
Pd5 0.3127 0.1858 0.9936
Pd6 0.8127 0.6855 0.4932
```